CuN: optimized geometry, PBE.

## Properties
- Raw formation energy: 2.17 eV per formula unit
- Energy above the lowest structure with this stoichiometry: 0.707 eV per atom
- Final energy: -5.127 eV/atom

a b c (Å): 8.1692 3.1783 5.5982
angles (deg): 90.00 90.00 90.00
Closest atoms and distances in Å follow each position.
Sites, in units of the cell vectors:
1 N 0.2316 0.3621 0.6414  4 Cu 1.90-1.98
2 N 0.0000 0.9287 0.4514  4 Cu 1.89-1.97
3 N 0.7316 0.6379 0.1414  4 Cu 1.90-1.98
4 N 0.7684 0.3621 0.6414  4 Cu 1.90-1.98
5 N 0.5000 0.0713 0.9514  4 Cu 1.89-1.97
6 N 0.2684 0.6379 0.1414  4 Cu 1.90-1.98
7 Cu 0.0000 0.4194 0.6414  4 N 1.89-1.94
8 Cu 0.7061 0.8642 0.8131  4 N 1.92-1.98
9 Cu 0.2939 0.8642 0.8131  4 N 1.92-1.98
10 Cu 0.5000 0.5806 0.1414  4 N 1.89-1.94
11 Cu 0.2061 0.1358 0.3131  4 N 1.92-1.98
12 Cu 0.7939 0.1358 0.3131  4 N 1.92-1.98